# LaTl3In

An optimized crystal structure of LaTl3In (PBE, the Alexandria database).

Cell and atoms, written as POSCAR:
```
LaTl3In
1.0
6.161 0.000 0.000
0.000 6.161 0.000
0.000 0.000 6.161
La Tl In
1 3 1
direct
0.000 0.000 0.000
0.000 0.000 0.500
0.000 0.500 0.000
0.500 0.000 0.000
0.500 0.500 0.500
```

Output
calculated formation energy	0.5266	eV per atom
energy above the lowest structure with this stoichiometry	0.282	eV per atom
uncorrected energy	-12.13	eV for the cell shown
magnetization	0.00	Bohr magnetons per cell